A crystal of BeHg2PtN relaxed with PBEsol, computed with SCAN.

As for the total energy: -43.0643 eV/atom. Its raw formation energy is 0.970 eV/atom. The total magnetization is 2.75 Bohr magnetons per cell.

Cell: 5.2100 5.2100 4.2412 Å, 90.00 90.00 90.00°
Space group P4/mmm (No. 123)
Inequivalent atoms, fractional coordinates:
Be (0.0000, 0.0000, 0.0000)
Hg (0.0000, 0.5000, 0.5000)
Pt (0.0000, 0.0000, 0.5000)
N (0.5000, 0.5000, 0.0000)

A crystal of Ba6Bi13Se26 relaxed with PBEsol, computed with SCAN.

As for the total energy: -40.4311 eV/atom. Its raw formation energy is -0.856 eV/atom. The total magnetization is 0.01 Bohr magnetons per cell.

Cell: 17.1580 4.2399 18.3728 Å, 90.00 90.85 90.00°
Space group Pm (No. 6)
Inequivalent atoms, fractional coordinates:
Ba (0.0000, 0.0000, 0.0000)
Ba (0.0103, 0.5000, 0.5548)
Ba (0.2339, 0.5000, 0.3920)
Ba (0.2667, 0.0000, 0.0782)
Ba (0.4823, 0.0000, 0.9086)
Ba (0.5091, 0.5000, 0.4676)
Bi (0.0582, 0.0000, 0.7792)
Bi (0.0747, 0.5000, 0.2133)
Bi (0.2405, 0.0000, 0.6179)
Bi (0.2570, 0.5000, 0.8467)
Bi (0.4236, 0.0000, 0.2603)
Bi (0.4402, 0.5000, 0.6899)
Bi (0.5773, 0.5000, 0.1225)
Bi (0.6502, 0.0000, 0.7096)
Bi (0.6721, 0.0000, 0.3246)
Bi (0.7370, 0.0000, 0.9868)
Bi (0.8294, 0.5000, 0.1687)
Bi (0.8463, 0.5000, 0.7532)
Bi (0.9181, 0.0000, 0.3661)
Se (0.0286, 0.5000, 0.3733)
Se (0.1219, 0.5000, 0.0694)
Se (0.1430, 0.0000, 0.4995)
Se (0.1447, 0.5000, 0.6999)
Se (0.1686, 0.0000, 0.9071)
Se (0.1776, 0.0000, 0.2481)
Se (0.3207, 0.5000, 0.2209)
Se (0.3300, 0.5000, 0.5586)
Se (0.3518, 0.0000, 0.7674)
Se (0.3539, 0.5000, 0.9669)
Se (0.3785, 0.0000, 0.4021)
Se (0.4725, 0.0000, 0.0946)
Se (0.5170, 0.0000, 0.6093)
Se (0.5529, 0.5000, 0.2866)
Se (0.5604, 0.5000, 0.7932)
Se (0.6181, 0.5000, 0.9740)
Se (0.6521, 0.0000, 0.4639)
Se (0.7086, 0.0000, 0.1436)
Se (0.7319, 0.5000, 0.6384)
Se (0.7665, 0.0000, 0.8296)
Se (0.7929, 0.5000, 0.3226)
Se (0.8506, 0.5000, 0.0108)
Se (0.8775, 0.0000, 0.5035)
Se (0.9334, 0.0000, 0.6750)
Se (0.9447, 0.0000, 0.1787)
Se (0.9830, 0.5000, 0.8598)

A crystal of CdP3Se relaxed with PBEsol, computed with SCAN.

As for the total energy: -15.2142 eV/atom. Its raw formation energy is 1.124 eV/atom. The total magnetization is 0.00 Bohr magnetons per cell.

Cell: 4.7153 4.7153 4.7153 Å, 90.00 90.00 90.00°
Space group Pm-3m (No. 221)
Inequivalent atoms, fractional coordinates:
Cd (0.0000, 0.0000, 0.0000)
P (0.0000, 0.5000, 0.5000)
Se (0.5000, 0.5000, 0.5000)

A crystal of In2SbW relaxed with PBEsol, computed with SCAN.

As for the total energy: -42.8040 eV/atom. Its raw formation energy is 0.626 eV/atom. The total magnetization is 0.00 Bohr magnetons per cell.

Cell: 3.6932 4.7173 9.7308 Å, 90.00 90.00 90.00°
Space group Cmmm (No. 65)
Inequivalent atoms, fractional coordinates:
In (0.0000, 0.0000, 0.2223)
Sb (0.0000, 0.5000, 0.5000)
W (0.0000, 0.5000, 0.0000)